w | ## TbSm8Tm2 (GGA-PBE)

Data for an optimized crystal structure of TbSm8Tm2.

Crystal system: monoclinic

Lattice parameters (Å, degrees): 6.665 10.302 10.302 38.09 59.67 59.67
Fractional coordinates of all 11 atoms:
Tb 0.000 0.000 0.000
Sm 0.230 0.350 0.826
Sm 0.770 0.174 0.650
Sm 0.171 0.755 0.755
Sm 0.829 0.245 0.245
Sm 0.230 0.826 0.350
Sm 0.770 0.650 0.174
Sm 0.726 0.593 0.593
Sm 0.274 0.407 0.407
Tm 0.594 0.800 0.800
Tm 0.406 0.200 0.200



x | ## TbSm8Tm2 (GGA-PBE)

Data for an optimized crystal structure of TbSm8Tm2.

Crystal system: monoclinic

Lattice parameters (Å, degrees): 8.541 9.221 9.221 42.69 52.51 52.51
Fractional coordinates of all 11 atoms:
Tb 0.000 0.000 0.000
Sm 0.201 0.350 0.833
Sm 0.799 0.167 0.650
Sm 0.291 0.742 0.742
Sm 0.709 0.258 0.258
Sm 0.201 0.833 0.350
Sm 0.799 0.650 0.167
Sm 0.777 0.609 0.609
Sm 0.223 0.391 0.391
Tm 0.528 0.856 0.856
Tm 0.472 0.144 0.144



The computed energies, referenced to the most stable structure and given in meV per atom, are w 0; x 40.



w | ## Tb3Sm7Tm2 (GGA-PBE)

Data for an optimized crystal structure of Tb3Sm7Tm2.

Crystal system: trigonal

Lattice parameters (Å, degrees): 6.547 6.547 11.811 73.91 73.91 60.00
Fractional coordinates of all 12 atoms:
Tb 0.000 0.000 0.000
Tb 0.153 0.153 0.541
Tb 0.847 0.847 0.459
Sm 0.500 0.500 0.500
Sm 0.079 0.587 0.748
Sm 0.587 0.587 0.748
Sm 0.587 0.079 0.748
Sm 0.921 0.413 0.252
Sm 0.413 0.921 0.252
Sm 0.413 0.413 0.252
Tm 0.334 0.334 0.998
Tm 0.666 0.666 0.002



x | ## Tb3Sm7Tm2 (GGA-PBE)

Data for an optimized crystal structure of Tb3Sm7Tm2.

Crystal system: orthorhombic

Lattice parameters (Å, degrees): 3.606 5.761 19.257 98.60 90.00 90.00
Fractional coordinates of all 12 atoms:
Tb 0.500 0.500 0.000
Tb 0.500 0.685 0.369
Tb 0.500 0.315 0.631
Sm 0.000 0.407 0.814
Sm 0.000 0.768 0.536
Sm 0.000 0.000 0.000
Sm 0.000 0.593 0.186
Sm 0.500 0.073 0.146
Sm 0.500 0.927 0.854
Sm 0.000 0.232 0.464
Tm 0.000 0.852 0.703
Tm 0.000 0.148 0.297



The computed energies, referenced to the most stable structure and given in meV per atom, are w 184; x 0.